[1]
ZrTi3Al: optimized geometry, PBEsol.

Unit cell a=4.7031 b=4.7031 c=4.7031 alpha=90.00 beta=90.00 gamma=90.00
Each line ends with the local moment (μB).
Fractional coordinates of all 5 atoms:
Al (0.5000, 0.5000, 0.5000)  -0.01
Ti (0.0000, 0.0000, 0.5000)  0.35
Ti (0.0000, 0.5000, 0.0000)  0.35
Ti (0.5000, 0.0000, 0.0000)  0.35
Zr (0.0000, 0.0000, 0.0000)  0.04

The total energy comes out at -6.513 eV per atom. The value obtained for the formation energy is 107.8 kJ/mol of atoms. As for the energy above the most stable polymorph in this dataset: 343.5 meV per atom. The value obtained for the density of states at the Fermi level is 1.6388 states/eV/atom. The space-group type is Pm-3m.

---

[2]
ZrTiAl3: optimized geometry, PBEsol.

Unit cell a=4.6914 b=4.6914 c=4.6914 alpha=90.00 beta=90.00 gamma=90.00
Fractional coordinates of all 5 atoms:
Al (0.5000, 0.0000, 0.0000)
Al (0.0000, 0.5000, 0.0000)
Al (0.0000, 0.0000, 0.5000)
Ti (0.0000, 0.0000, 0.0000)
Zr (0.5000, 0.5000, 0.5000)

The total energy comes out at -5.303 eV per atom. The value obtained for the formation energy is 61.2 kJ/mol of atoms. The value obtained for the density of states at the Fermi level is 1.0304 states/eV/atom. The space-group type is Pm-3m.

---

[3]
ZrTi3Al: optimized geometry, PBEsol.

Unit cell a=4.6821 b=4.6821 c=4.6821 alpha=90.00 beta=90.00 gamma=90.00
Each line ends with the local moment (μB).
Fractional coordinates of all 5 atoms:
Ti (0.0000, 0.0000, 0.5000)  0.44
Ti (0.5000, 0.0000, 0.0000)  0.44
Ti (0.0000, 0.5000, 0.0000)  0.44
Al (0.0000, 0.0000, 0.0000)  0.05
Zr (0.5000, 0.5000, 0.5000)  0.34

The total energy comes out at -6.856 eV per atom. The value obtained for the formation energy is 74.6 kJ/mol of atoms. As for the energy above the most stable polymorph in this dataset: 0.0 meV per atom. The value obtained for the density of states at the Fermi level is 1.6584 states/eV/atom. The space-group type is Pm-3m.

---

[4]
Zr2TiAl2: optimized geometry, PBEsol.

Unit cell a=3.7377 b=7.1565 c=7.1565 alpha=90.00 beta=90.00 gamma=90.00
Each line ends with the local moment (μB).
Fractional coordinates of all 10 atoms:
Zr (0.5000, 0.8257, 0.3257)  0.09
Zr (0.5000, 0.3257, 0.1743)  0.09
Zr (0.5000, 0.6743, 0.8257)  0.09
Zr (0.5000, 0.1743, 0.6743)  0.09
Ti (0.0000, 0.5000, 0.5000)  0.62
Ti (0.0000, 0.0000, 0.0000)  0.62
Al (0.0000, 0.8733, 0.6267)  -0.01
Al (0.0000, 0.1267, 0.3733)  -0.01
Al (0.0000, 0.3733, 0.8733)  -0.01
Al (0.0000, 0.6267, 0.1267)  -0.01

The total energy comes out at -7.233 eV per atom. The value obtained for the formation energy is -28.6 kJ/mol of atoms. The value obtained for the density of states at the Fermi level is 1.1863 states/eV/atom. The space-group type is P4/mbm.

---

[5]
Al5Tl3: optimized geometry, PBEsol.

Unit cell a=4.5855 b=6.0989 c=6.0989 alpha=94.22 beta=90.00 gamma=90.00
Fractional coordinates of all 8 atoms:
Al (0.5000, 0.7591, 0.7591)
Al (0.0000, 0.0000, 0.5000)
Al (0.0000, 0.0000, 0.0000)
Al (0.5000, 0.2409, 0.2409)
Al (0.0000, 0.5000, 0.0000)
Tl (0.5000, 0.7564, 0.2436)
Tl (0.5000, 0.2436, 0.7564)
Tl (0.0000, 0.5000, 0.5000)

The total energy comes out at -3.260 eV per atom. The value obtained for the formation energy is 27.3 kJ/mol of atoms. The value obtained for the density of states at the Fermi level is 0.4402 states/eV/atom. The space-group type is Cmmm.

---

[6]
AlTlW2: optimized geometry, PBEsol.

Unit cell a=3.3761 b=4.5596 c=5.2457 alpha=115.76 beta=108.77 gamma=90.00
Fractional coordinates of all 4 atoms:
Al (0.4884, 0.4884, 0.9768)
W (0.7428, 0.2428, 0.4856)
W (0.0182, 0.0182, 0.0364)
Tl (0.2506, 0.7506, 0.5012)

The total energy comes out at -7.982 eV per atom. The value obtained for the formation energy is 58.1 kJ/mol of atoms. As for the energy above the most stable polymorph in this dataset: 0.0 meV per atom. The value obtained for the density of states at the Fermi level is 0.5769 states/eV/atom. The space-group type is Imm2.

---

[7]
AlTl4W: optimized geometry, PBEsol.

Unit cell a=5.8584 b=5.8584 c=5.8584 alpha=60.00 beta=60.00 gamma=60.00
Each line ends with the local moment (μB).
Fractional coordinates of all 6 atoms:
Tl (0.3753, 0.3753, 0.8741)  -0.01
Tl (0.8741, 0.3753, 0.3753)  -0.01
Tl (0.3753, 0.3753, 0.3753)  -0.01
Tl (0.3753, 0.8741, 0.3753)  -0.01
Al (0.0000, 0.0000, 0.0000)  -0.01
W (0.7500, 0.7500, 0.7500)  0.49

The total energy comes out at -3.525 eV per atom. The value obtained for the formation energy is 117.0 kJ/mol of atoms. The value obtained for the density of states at the Fermi level is 0.5896 states/eV/atom. The space-group type is F-43m.

---

[8]
AlTlW2: optimized geometry, PBEsol.

Unit cell a=2.8727 b=4.8277 c=4.8277 alpha=90.00 beta=90.00 gamma=90.00
Fractional coordinates of all 4 atoms:
Al (0.5000, 0.5000, 0.5000)
W (0.0000, 0.0000, 0.5000)
W (0.0000, 0.5000, 0.0000)
Tl (0.5000, 0.0000, 0.0000)

The total energy comes out at -7.735 eV per atom. The value obtained for the formation energy is 82.0 kJ/mol of atoms. As for the energy above the most stable polymorph in this dataset: 247.2 meV per atom. The value obtained for the density of states at the Fermi level is 0.6319 states/eV/atom. The space-group type is P4/mmm.

---

[9]
Y2Al2Tl: optimized geometry, PBEsol.

Unit cell a=4.5136 b=7.1635 c=7.1635 alpha=90.00 beta=90.00 gamma=90.00
Fractional coordinates of all 10 atoms:
Y (0.5000, 0.1689, 0.6689)
Y (0.5000, 0.3311, 0.1689)
Y (0.5000, 0.8311, 0.3311)
Y (0.5000, 0.6689, 0.8311)
Al (0.0000, 0.3718, 0.8718)
Al (0.0000, 0.8718, 0.6282)
Al (0.0000, 0.1282, 0.3718)
Al (0.0000, 0.6282, 0.1282)
Tl (0.0000, 0.0000, 0.0000)
Tl (0.0000, 0.5000, 0.5000)

The total energy comes out at -5.322 eV per atom. The value obtained for the formation energy is -41.6 kJ/mol of atoms. The value obtained for the density of states at the Fermi level is 0.6477 states/eV/atom. The space-group type is P4/mbm.

---

[10]
YAl2Tl: optimized geometry, PBEsol.

Unit cell a=3.5519 b=3.5519 c=6.8827 alpha=90.00 beta=90.00 gamma=90.00
Fractional coordinates of all 4 atoms:
Y (0.5000, 0.5000, 0.7701)
Tl (0.0000, 0.0000, 0.4671)
Al (0.5000, 0.5000, 0.2248)
Al (0.0000, 0.0000, 0.0381)

The total energy comes out at -4.573 eV per atom. The value obtained for the formation energy is -15.8 kJ/mol of atoms. As for the energy above the most stable polymorph in this dataset: 0.0 meV per atom. The value obtained for the density of states at the Fermi level is 0.7327 states/eV/atom. The space-group type is P4mm.

---

[11]
YAl2Tl: optimized geometry, PBEsol.

Unit cell a=6.0190 b=6.3448 c=6.3448 alpha=77.00 beta=61.68 gamma=61.68
Fractional coordinates of all 8 atoms:
Tl (0.7500, 0.5000, 0.5000)
Tl (0.0000, 0.0000, 0.0000)
Y (0.5000, 0.0000, 0.0000)
Y (0.2500, 0.5000, 0.5000)
Al (0.3750, 0.5304, 0.9696)
Al (0.0946, 0.0304, 0.5304)
Al (0.6554, 0.9696, 0.4696)
Al (0.8750, 0.4696, 0.0304)

The total energy comes out at -4.394 eV per atom. The value obtained for the formation energy is 1.4 kJ/mol of atoms. As for the energy above the most stable polymorph in this dataset: 178.2 meV per atom. The value obtained for the density of states at the Fermi level is 0.4600 states/eV/atom. The space-group type is I-42d.

---

[12]
YAl2Tl: optimized geometry, PBEsol.

Unit cell a=4.9950 b=4.9950 c=4.9950 alpha=60.00 beta=60.00 gamma=60.00
Fractional coordinates of all 4 atoms:
Al (0.7500, 0.7500, 0.7500)
Al (0.0000, 0.0000, 0.0000)
Tl (0.5000, 0.5000, 0.5000)
Y (0.2500, 0.2500, 0.2500)

The total energy comes out at -4.433 eV per atom. The value obtained for the formation energy is -2.3 kJ/mol of atoms. As for the energy above the most stable polymorph in this dataset: 139.5 meV per atom. The value obtained for the density of states at the Fermi level is 0.6127 states/eV/atom. The space-group type is F-43m.